1.
This record from Alexandria via LeMat-Bulk describes an optimized crystal structure of Li5PdAu. The functional is GGA-PBE.

The space group is Cmmm (65). The calculation puts the density of states at the Fermi level at 2.58 states/eV/cell. Its relative energy among the computed polymorphs is 0.0 meV/atom. The energy relative to the elements is -2.170 eV per formula unit.

abc: 4.303 4.303 6.286
angles: 90.00 90.00 90.19
Fractional positions:
Li 0.500 0.000 0.224
Li 0.000 0.500 0.224
Li 0.000 0.000 0.500
Li 0.000 0.500 0.776
Li 0.500 0.000 0.776
Pd 0.000 0.000 0.000
Au 0.500 0.500 0.500

***

2.
This record from Alexandria via LeMat-Bulk describes an optimized crystal structure of Li5Pd3Au4. The functional is GGA-PBE.

The space group is C2/m (12). The calculation puts the density of states at the Fermi level at 2.85 states/eV/cell. The energy relative to the elements is -3.808 eV per formula unit.

abc: 4.668 6.694 7.195
angles: 99.59 71.07 69.59
Fractional positions:
Li 0.661 0.908 0.771
Li 0.500 0.500 0.500
Li 0.191 0.490 0.129
Li 0.809 0.510 0.871
Li 0.339 0.092 0.229
Pd 0.526 0.693 0.255
Pd 0.000 0.500 0.500
Pd 0.474 0.307 0.745
Au 0.842 0.231 0.084
Au 0.152 0.072 0.623
Au 0.848 0.928 0.377
Au 0.158 0.769 0.916

***

3.
This record from Alexandria via LeMat-Bulk describes an optimized crystal structure of Li7Pd3Au2. The functional is GGA-PBE.

The space group is Cmmm (65). The calculation puts the density of states at the Fermi level at 2.89 states/eV/cell. The energy relative to the elements is -3.914 eV per formula unit.

abc: 3.614 4.283 12.383
angles: 99.96 90.00 90.00
Fractional positions:
Li 0.000 0.420 0.841
Li 0.000 0.726 0.451
Li 0.000 0.000 0.000
Li 0.000 0.580 0.159
Li 0.500 0.084 0.168
Li 0.500 0.916 0.832
Li 0.000 0.274 0.549
Pd 0.500 0.500 0.000
Pd 0.500 0.653 0.306
Pd 0.500 0.347 0.694
Au 0.000 0.840 0.680
Au 0.000 0.160 0.320